The following is a DFT calculation (PBE-GGA) of an optimized crystal structure of Tb4PmY5.

Summary:
- raw total energy (eV/atom) = -5.2608
- formation energy from the elements (kJ/mol of atoms) = 28.8

a = 10.283 Å, b = 10.283 Å, c = 6.289 Å
α = 90.00°, β = 90.00°, γ = 90.00°
Space group I4 (No. 79)
Asymmetric unit:
Tb1 0.050 0.649 0.000 (multiplicity 8)
Pm1 0.000 0.000 0.769 (multiplicity 2)
Y1 0.000 0.000 0.225 (multiplicity 2)
Y2 0.148 0.767 0.498 (multiplicity 8)

The following is a DFT calculation (PBE-GGA) of an optimized crystal structure of Li2NiCl.

Summary:
- raw total energy (eV/atom) = -3.2566
- ΔE_f (raw) (eV/f.u.) = -1.6

a = 3.093 Å, b = 3.527 Å, c = 10.971 Å
α = 90.00°, β = 90.00°, γ = 90.00°
Space group Amm2 (No. 38)
Asymmetric unit:
Li1 0.000 0.000 0.000 (multiplicity 2)
Li2 0.500 0.000 0.341 (multiplicity 2)
Ni1 0.000 0.000 0.745 (multiplicity 2)
Cl1 0.500 0.000 0.572 (multiplicity 2)

The following is a DFT calculation (PBE-GGA) of an optimized crystal structure of FeNiSn2Mo.

Summary:
- raw total energy (eV/atom) = -5.7150
- formation energy from the elements (kJ/mol of atoms) = 87.0

a = 4.792 Å, b = 4.792 Å, c = 4.446 Å
α = 90.00°, β = 90.00°, γ = 90.00°
Space group P4/mmm (No. 123)
Asymmetric unit:
Fe1 0.000 0.000 0.000 (multiplicity 1)
Ni1 0.500 0.500 0.500 (multiplicity 1)
Sn1 0.000 0.500 0.000 (multiplicity 2)
Mo1 0.000 0.000 0.500 (multiplicity 1)

The following is a DFT calculation (PBE-GGA) of an optimized crystal structure of TaFe2Re.

Summary:
- raw total energy (eV/atom) = -10.3002
- formation energy from the elements (kJ/mol of atoms) = 0.6

a = 3.068 Å, b = 4.289 Å, c = 8.528 Å
α = 90.00°, β = 90.00°, γ = 90.00°
Space group Imm2 (No. 44)
Asymmetric unit:
Ta1 0.000 0.000 0.000 (multiplicity 2)
Fe1 0.000 0.000 0.507 (multiplicity 2)
Fe2 0.000 0.500 0.245 (multiplicity 2)
Re1 0.000 0.500 0.760 (multiplicity 2)

The following is a DFT calculation (PBE-GGA) of an optimized crystal structure of CuIrSe2.

Summary:
- raw total energy (eV/atom) = -4.9493
- ΔE_f (raw) (eV/f.u.) = 0.1

a = 4.597 Å, b = 4.733 Å, c = 6.856 Å
α = 90.00°, β = 90.00°, γ = 90.00°
Space group Amm2 (No. 38)
Asymmetric unit:
Cu1 0.000 0.000 0.000 (multiplicity 2)
Ir1 0.500 0.000 0.212 (multiplicity 2)
Se1 0.000 0.000 0.369 (multiplicity 2)
Se2 0.500 0.000 0.849 (multiplicity 2)

The following is a DFT calculation (PBE-GGA) of an optimized crystal structure of NdBiS.

Summary:
- raw total energy (eV/atom) = -5.3776
- ΔE_f (raw) (eV/f.u.) = -3.4

a = 4.8641 Å, b = 4.8641 Å, c = 27.7665 Å
α = 90.00°, β = 90.00°, γ = 120.00°
Space group R-3m (No. 166, hexagonal axes)
Asymmetric unit:
Nd1 0.0000 0.0000 0.1077 (multiplicity 6)
Bi1 0.0000 0.0000 0.3543 (multiplicity 6)
S1 0.0000 0.0000 0.2077 (multiplicity 6)

The following is a DFT calculation (PBE-GGA) of an optimized crystal structure of PmCuF.

Summary:
- raw total energy (eV/atom) = -5.2608
- ΔE_f (raw) (eV/f.u.) = -5.1

a = 6.846 Å, b = 3.945 Å, c = 8.703 Å
α = 90.00°, β = 105.24°, γ = 90.00°
Space group C2/m (No. 12)
Asymmetric unit:
Pm1 0.237 0.000 0.214 (multiplicity 4)
Cu1 0.143 0.500 0.431 (multiplicity 4)
F1 0.138 0.000 0.916 (multiplicity 4)

The following is a DFT calculation (PBE-GGA) of an optimized crystal structure of La2NdDy9.

Summary:
- raw total energy (eV/atom) = -4.5904
- formation energy from the elements (kJ/mol of atoms) = 7.7

a = 11.3925 Å, b = 11.3925 Å, c = 3.5071 Å
α = 90.00°, β = 90.00°, γ = 120.00°
Space group P6/mmm (No. 191)
Asymmetric unit:
La1 0.3333 0.6667 0.0000 (multiplicity 2)
Nd1 0.0000 0.0000 0.0000 (multiplicity 1)
Dy1 0.0000 0.5000 0.0000 (multiplicity 3)
Dy2 0.1731 0.3462 0.5000 (multiplicity 6)

The following is a DFT calculation (PBE-GGA) of an optimized crystal structure of HoAg2Pd9.

Summary:
- raw total energy (eV/atom) = -5.0468
- formation energy from the elements (kJ/mol of atoms) = -28.5

a = 4.048 Å, b = 4.048 Å, c = 12.055 Å
α = 90.00°, β = 90.00°, γ = 90.00°
Space group P4/mmm (No. 123)
Asymmetric unit:
Ho1 0.000 0.000 0.000 (multiplicity 1)
Ag1 0.000 0.000 0.338 (multiplicity 2)
Pd1 0.000 0.500 0.172 (multiplicity 4)
Pd2 0.000 0.500 0.500 (multiplicity 2)
Pd3 0.500 0.500 0.000 (multiplicity 1)
Pd4 0.500 0.500 0.336 (multiplicity 2)

The following is a DFT calculation (PBE-GGA) of an optimized crystal structure of Zn2RuRh.

Summary:
- raw total energy (eV/atom) = -4.8239
- formation energy from the elements (kJ/mol of atoms) = -2.9

a = 2.7413 Å, b = 2.7413 Å, c = 26.4560 Å
α = 90.00°, β = 90.00°, γ = 120.00°
Space group R3m (No. 160, hexagonal axes)
Asymmetric unit:
Zn1 0.0000 0.0000 0.0000 (multiplicity 3)
Zn2 0.0000 0.0000 0.2440 (multiplicity 3)
Ru1 0.0000 0.0000 0.4948 (multiplicity 3)
Rh1 0.0000 0.0000 0.7480 (multiplicity 3)

The following is a DFT calculation (PBE-GGA) of an optimized crystal structure of ErMoC.

Summary:
- raw total energy (eV/atom) = -8.2224
- formation energy from the elements (kJ/mol of atoms) = -1.6

a = 6.681 Å, b = 3.204 Å, c = 8.707 Å
α = 90.00°, β = 97.93°, γ = 90.00°
Space group P2_1/m (No. 11)
Asymmetric unit:
Er1 0.007 0.250 0.197 (multiplicity 2)
Er2 0.481 0.250 0.317 (multiplicity 2)
Mo1 0.157 0.250 0.559 (multiplicity 2)
Mo2 0.357 0.750 0.017 (multiplicity 2)
C1 0.171 0.750 0.401 (multiplicity 2)
C2 0.320 0.250 0.834 (multiplicity 2)

The following is a DFT calculation (PBE-GGA) of an optimized crystal structure of SmDy2Zn2Sn2.

Summary:
- raw total energy (eV/atom) = -3.8410
- formation energy from the elements (kJ/mol of atoms) = -33.2

a = 4.6614 Å, b = 4.6614 Å, c = 27.9992 Å
α = 90.00°, β = 90.00°, γ = 120.00°
Space group R-3m (No. 166, hexagonal axes)
Asymmetric unit:
Sm1 0.0000 0.0000 0.0000 (multiplicity 3)
Dy1 0.0000 0.0000 0.1315 (multiplicity 6)
Zn1 0.0000 0.0000 0.4211 (multiplicity 6)
Sn1 0.0000 0.0000 0.2664 (multiplicity 6)

The following is a DFT calculation (PBE-GGA) of an optimized crystal structure of Cr2AgOs.

Summary:
- raw total energy (eV/atom) = -7.7613
- formation energy from the elements (kJ/mol of atoms) = 55.1

a = 4.649 Å, b = 2.807 Å, c = 4.726 Å
α = 90.00°, β = 109.16°, γ = 90.00°
Space group P2/m (No. 10)
Asymmetric unit:
Cr1 0.000 0.000 0.000 (multiplicity 1)
Cr2 0.000 0.500 0.500 (multiplicity 1)
Ag1 0.500 0.000 0.500 (multiplicity 1)
Os1 0.500 0.500 0.000 (multiplicity 1)

The following is a DFT calculation (PBE-GGA) of an optimized crystal structure of Tb3TlPd.

Summary:
- raw total energy (eV/atom) = -4.6773
- formation energy from the elements (kJ/mol of atoms) = -37.4

a = 7.7953 Å, b = 7.7953 Å, c = 5.3903 Å
α = 90.00°, β = 90.00°, γ = 120.00°
Space group P6_3/mmc (No. 194)
Asymmetric unit:
Tb1 0.1850 0.3700 0.2500 (multiplicity 6)
Tl1 0.3333 0.6667 0.7500 (multiplicity 2)
Pd1 0.0000 0.0000 0.0000 (multiplicity 2)

Results for total moment: 0.00 0.00 1.18 8.13 0.00 0.00 0.00 0.00 0.00 0.00 0.00 0.00 0.56 0.00 (in μB/cell, following the order of the records).